Below is a relaxed TiSN2 crystal, with properties calculated at the PBE level.

## Properties
- ΔE_f (raw) (eV per atom) = 0.381
- M_tot (Bohr magnetons per cell) = 0.0

a b c (Å): 4.484 4.484 10.326
angles (deg): 90.00 90.00 90.00
Space group I-42d (No. 122)
One atom of each set of equivalent atoms:
Ti 0.000 0.000 0.000 [4 per cell]
S 0.000 0.000 0.500 [4 per cell]
N 0.225 0.250 0.125 [8 per cell]

***

Below is a relaxed DyMgFe crystal, with properties calculated at the PBE level.

## Properties
- calculated formation energy (kJ/mol of formula units) = 3
- M_tot (Bohr magnetons per cell) = 0.0

a b c (Å): 13.458 3.796 5.198
angles (deg): 90.00 102.98 90.00
Space group C2/m (No. 12)
One atom of each set of equivalent atoms:
Dy 0.143 0.000 0.333 [4 per cell]
Mg 0.077 0.500 0.792 [4 per cell]
Fe 0.235 0.000 0.905 [4 per cell]

***

Below is a relaxed LuUTcRh crystal, with properties calculated at the PBE level.

## Properties
- calculated formation energy (kJ/mol of formula units) = -125
- M_tot (Bohr magnetons per cell) = 6.4

a b c (Å): 6.755 6.755 6.755
angles (deg): 90.00 90.00 90.00
Space group F-43m (No. 216)
One atom of each set of equivalent atoms:
Lu 0.000 0.000 0.000 [4 per cell]
U 0.000 0.000 0.500 [4 per cell]
Tc 0.250 0.250 0.750 [4 per cell]
Rh 0.250 0.250 0.250 [4 per cell]

***

Below is a relaxed Y2Al2Ge2C crystal, with properties calculated at the PBE level.

## Properties
- calculated formation energy (kJ/mol of formula units) = -346
- M_tot (Bohr magnetons per cell) = 0.0

a b c (Å): 4.148 4.148 14.911
angles (deg): 90.00 90.00 90.00
Space group I4/mmm (No. 139)
One atom of each set of equivalent atoms:
Y 0.000 0.000 0.161 [4 per cell]
Al 0.000 0.500 0.000 [4 per cell]
Ge 0.000 0.000 0.368 [4 per cell]
C 0.000 0.000 0.000 [2 per cell]

***

Below is a relaxed SrCuTeI2 crystal, with properties calculated at the PBE level.

## Properties
- ΔE_f (raw) (eV per atom) = 0.015
- M_tot (Bohr magnetons per cell) = 1.0

a b c (Å): 6.308 6.308 6.527
angles (deg): 90.00 90.00 90.00
Space group P4/mmm (No. 123)
One atom of each set of equivalent atoms:
Sr 0.000 0.000 0.000 [1 per cell]
Cu 0.500 0.500 0.500 [1 per cell]
Te 0.000 0.000 0.500 [1 per cell]
I 0.000 0.500 0.000 [2 per cell]

***

Below is a relaxed DyTaN crystal, with properties calculated at the PBE level.

## Properties
- ΔE_f (raw) (eV per atom) = -0.169
- M_tot (Bohr magnetons per cell) = 0.5

a b c (Å): 3.614 3.614 8.230
angles (deg): 90.00 90.00 90.00
Space group P4/nmm (No. 129, origin choice 2)
One atom of each set of equivalent atoms:
Dy 0.250 0.250 0.168 [2 per cell]
Ta 0.250 0.750 0.500 [2 per cell]
N 0.250 0.250 0.682 [2 per cell]

***

Below is a relaxed Zn2CrTe crystal, with properties calculated at the PBE level.

## Properties
- ΔE_f (raw) (eV per atom) = 0.247
- M_tot (Bohr magnetons per cell) = 8.1

a b c (Å): 5.625 5.852 4.975
angles (deg): 90.00 90.00 90.00
Space group Cmmm (No. 65)
One atom of each set of equivalent atoms:
Zn 0.000 0.226 0.000 [4 per cell]
Cr 0.000 0.000 0.500 [2 per cell]
Te 0.000 0.500 0.500 [2 per cell]

***

Below is a relaxed RuO4 crystal, with properties calculated at the PBE level.

## Properties
- ΔE_f (raw) (eV per atom) = -0.621
- M_tot (Bohr magnetons per cell) = 0.1

a b c (Å): 9.101 9.101 9.101
angles (deg): 90.00 90.00 90.00
Space group P-43n (No. 218)
One atom of each set of equivalent atoms:
Ru 0.000 0.000 0.000 [2 per cell]
Ru 0.000 0.250 0.500 [6 per cell]
O 0.107 0.141 0.389 [24 per cell]
O 0.109 0.109 0.891 [8 per cell]

***

Below is a relaxed Be5Co4P crystal, with properties calculated at the PBE level.

## Properties
- calculated formation energy (kJ/mol of formula units) = -113
- M_tot (Bohr magnetons per cell) = 0.0

a b c (Å): 11.035 3.682 4.993
angles (deg): 90.00 91.63 90.00
Space group C2/m (No. 12)
One atom of each set of equivalent atoms:
Be 0.000 0.000 0.000 [2 per cell]
Be 0.164 0.500 0.019 [4 per cell]
Be 0.181 0.500 0.503 [4 per cell]
Co 0.009 0.500 0.747 [4 per cell]
Co 0.167 0.000 0.762 [4 per cell]
P 0.000 0.000 0.500 [2 per cell]

***

Below is a relaxed FeHRu2W crystal, with properties calculated at the PBE level.

## Properties
- M_tot (Bohr magnetons per cell) = 0.0

a b c (Å): 3.864 3.864 3.768
angles (deg): 90.00 90.00 90.00
Space group P4/mmm (No. 123)
One atom of each set of equivalent atoms:
Fe 0.000 0.000 0.000 [1 per cell]
H 0.000 0.000 0.500 [1 per cell]
Ru 0.000 0.500 0.500 [2 per cell]
W 0.500 0.500 0.000 [1 per cell]

***

Below is a relaxed K2HBrCl crystal, with properties calculated at the PBE level.

## Properties
- M_tot (Bohr magnetons per cell) = 0.0

a b c (Å): 5.587 5.587 4.110
angles (deg): 90.00 90.00 90.00
Space group P4/mmm (No. 123)
One atom of each set of equivalent atoms:
K 0.000 0.500 0.000 [2 per cell]
H 0.000 0.000 0.000 [1 per cell]
Br 0.500 0.500 0.500 [1 per cell]
Cl 0.000 0.000 0.500 [1 per cell]

***

Below is a relaxed PrNpS3 crystal, with properties calculated at the PBE level.

## Properties
- ΔE_f (raw) (eV per atom) = -1.451
- M_tot (Bohr magnetons per cell) = 15.5

a b c (Å): 5.466 10.569 8.453
angles (deg): 90.00 90.00 90.00
Space group Imma (No. 74)
One atom of each set of equivalent atoms:
Pr 0.000 0.000 0.000 [4 per cell]
Np 0.000 0.250 0.445 [4 per cell]
S 0.000 0.061 0.657 [8 per cell]
S 0.000 0.250 0.111 [4 per cell]

***

| no. | DOS at the Fermi energy (states/eV/atom) | E (eV/atom) |
| --- | --- | --- |
| 1 | 0.729 | -6.79 |
| 2 | 1.164 | -4.88 |
| 3 | 2.233 | -8.71 |
| 4 | 0.183 | -6.07 |
| 5 | 0.950 | -2.39 |
| 6 | 0.751 | -8.43 |
| 7 | 0.459 | -3.58 |
| 8 | 0.000 | -6.44 |
| 9 | 0.401 | -5.36 |
| 10 | 0.667 | -8.67 |
| 11 | 0.065 | -2.83 |
| 12 | 1.504 | -7.47 |